A relaxed structure of Ho3ScCd2. Source: Alexandria via LeMat-Bulk, functional PBE.

POSCAR file:
```
Ho3ScCd2
1.0
3.5154 0.0000 0.0000
0.0000 3.5154 0.0000
0.0000 0.0000 12.9340
Ho Sc Cd
3 1 2
Direct
0.0000 0.0000 0.0000
0.0000 0.0000 0.3254
0.0000 0.0000 0.6746
0.5000 0.5000 0.5000
0.5000 0.5000 0.1620
0.5000 0.5000 0.8380
```

* space group: P4/mmm, No. 123
* formation energy: -1.1 eV per formula unit